Entry 1:
Below is a relaxed Co2RePt crystal, with properties calculated at the PBE-GGA level.

Output
- Size of the total moment: 1.21 μB/f.u.
- E: -8.151 eV/atom
- Space-group type: I4/mmm
- DFT formation energy: 0.02 eV per atom
- E above lowest polymorph: 0.036 eV per atom

a = 4.479 Å, b = 4.479 Å, c = 4.479 Å
α = 130.09°, β = 130.08°, γ = 73.28°
Last column: magnetic moment on the atom in μB.
Fractional coordinates of all 4 atoms:
Co1 0.000 0.000 0.000  0.64
Co2 0.500 0.500 0.000  0.64
Pt1 0.750 0.250 0.500  0.05
Re1 0.250 0.750 0.500  -0.08



Entry 2:
Below is a relaxed Te4Ir5 crystal, with properties calculated at the PBE-GGA level.

Output
- Size of the total moment: 0.00 μB/f.u.
- Formation energy from raw total energies: 322 meV/atom
- E: -5.997 eV/atom
- Space-group type: I4/mmm
- E above lowest polymorph: 0.000 eV per atom

a = 7.573 Å, b = 7.573 Å, c = 7.573 Å
α = 93.01°, β = 93.01°, γ = 153.49°
Fractional coordinates of all 9 atoms:
Te1 0.265 0.000 0.265
Te2 0.735 0.000 0.735
Te3 0.000 0.735 0.735
Te4 0.000 0.265 0.265
Ir1 0.000 0.000 0.000
Ir2 0.319 0.681 0.000
Ir3 0.681 0.319 0.000
Ir4 0.681 0.681 0.361
Ir5 0.319 0.319 0.639



Entry 3:
Below is a relaxed Dy2ErU2Ru5 crystal, with properties calculated at the PBE-GGA level.

Output
- Size of the total moment: 0.00 μB/f.u.
- E: -8.563 eV/atom
- Space-group type: P4/mbm
- DFT formation energy: -0.29 eV per atom

a = 3.589 Å, b = 10.581 Å, c = 10.581 Å
α = 90.00°, β = 90.00°, γ = 90.00°
Fractional coordinates of all 20 atoms:
Dy1 0.000 0.674 0.174
Dy2 0.000 0.326 0.826
Dy3 0.000 0.174 0.326
Dy4 0.000 0.826 0.674
Er1 0.000 0.000 0.000
Er2 0.000 0.500 0.500
U1 0.000 0.135 0.635
U2 0.000 0.865 0.365
U3 0.000 0.635 0.865
U4 0.000 0.365 0.135
Ru1 0.500 0.212 0.054
Ru2 0.500 0.788 0.946
Ru3 0.500 0.054 0.788
Ru4 0.500 0.712 0.446
Ru5 0.500 0.946 0.212
Ru6 0.500 0.288 0.554
Ru7 0.500 0.554 0.712
Ru8 0.500 0.446 0.288
Ru9 0.500 0.500 0.000
Ru10 0.500 0.000 0.500



Entry 4:
Below is a relaxed ZnFeCo crystal, with properties calculated at the PBE-GGA level.

Output
- Size of the total moment: 3.92 μB/f.u.
- E: -5.603 eV/atom
- Space-group type: C2/m
- DFT formation energy: 0.01 eV per atom
- E above lowest polymorph: 0.020 eV per atom

a = 3.057 Å, b = 6.128 Å, c = 18.320 Å
α = 157.02°, β = 85.21°, γ = 75.56°
Last column: magnetic moment on the atom in μB.
Fractional coordinates of all 6 atoms:
Co1 0.087 0.576 0.250  1.43
Co2 0.913 0.424 0.750  1.43
Fe1 0.258 0.734 0.750  2.60
Fe2 0.742 0.266 0.250  2.60
Zn1 0.416 0.918 0.250  -0.06
Zn2 0.584 0.082 0.750  -0.06



Entry 5:
Below is a relaxed La3TiAlS7 crystal, with properties calculated at the PBE-GGA level.

Output
- Size of the total moment: 1.80 μB/f.u.
- Formation energy from raw total energies: -1852 meV/atom
- E: -6.461 eV/atom
- Space-group type: P6_3

a = 10.127 Å, b = 10.127 Å, c = 6.279 Å
α = 90.00°, β = 90.00°, γ = 120.00°
Last column: magnetic moment on the atom in μB.
Fractional coordinates of all 24 atoms:
La1 0.770 0.147 0.714  0.07
La2 0.377 0.230 0.714  0.07
La3 0.853 0.623 0.714  0.07
La4 0.230 0.853 0.214  0.07
La5 0.623 0.770 0.214  0.07
La6 0.147 0.377 0.214  0.07
Ti1 0.000 0.000 0.542  1.11
Ti2 0.000 0.000 0.042  1.11
Al1 0.667 0.333 0.138  0.00
Al2 0.333 0.667 0.638  0.00
S1 0.865 0.091 0.294  -0.02
S2 0.225 0.135 0.294  -0.02
S3 0.909 0.775 0.294  -0.02
S4 0.135 0.909 0.794  -0.02
S5 0.775 0.865 0.794  -0.02
S6 0.091 0.225 0.794  -0.02
S7 0.901 0.422 0.994  0.00
S8 0.521 0.099 0.994  0.00
S9 0.578 0.479 0.994  0.00
S10 0.099 0.578 0.494  0.00
S11 0.479 0.901 0.494  0.00
S12 0.422 0.521 0.494  0.00
S13 0.667 0.333 0.495  0.00
S14 0.333 0.667 0.995  0.00



Entry 6:
Below is a relaxed Ba4Tl5Hg6 crystal, with properties calculated at the PBE-GGA level.

Output
- Size of the total moment: 0.00 μB/f.u.
- E: -1.751 eV/atom
- Space-group type: Cmc2_1
- DFT formation energy: -0.33 eV per atom

a = 4.632 Å, b = 12.986 Å, c = 17.229 Å
α = 90.00°, β = 90.00°, γ = 100.27°
Fractional coordinates of all 30 atoms:
Ba1 0.932 0.865 0.287
Ba2 0.068 0.135 0.787
Ba3 0.125 0.249 0.278
Ba4 0.875 0.751 0.778
Ba5 0.807 0.613 0.462
Ba6 0.193 0.387 0.962
Ba7 0.037 0.074 0.521
Ba8 0.963 0.926 0.021
Tl1 0.475 0.951 0.673
Tl2 0.525 0.049 0.173
Tl3 0.196 0.392 0.616
Tl4 0.804 0.608 0.116
Tl5 0.639 0.277 0.458
Tl6 0.361 0.723 0.958
Tl7 0.328 0.657 0.622
Tl8 0.672 0.343 0.122
Tl9 0.316 0.633 0.292
Tl10 0.684 0.367 0.792
Hg1 0.733 0.466 0.280
Hg2 0.422 0.844 0.454
Hg3 0.788 0.575 0.930
Hg4 0.212 0.425 0.430
Hg5 0.470 0.941 0.860
Hg6 0.530 0.059 0.360
Hg7 0.388 0.777 0.137
Hg8 0.612 0.223 0.637
Hg9 0.088 0.176 0.084
Hg10 0.912 0.824 0.584
Hg11 0.578 0.156 0.954
Hg12 0.267 0.534 0.780



Entry 7:
Below is a relaxed Sr2LiCr crystal, with properties calculated at the PBE-GGA level.

Output
- Size of the total moment: 4.51 μB/f.u.
- E: -3.297 eV/atom
- Space-group type: P4mm
- DFT formation energy: 0.43 eV per atom
- E above lowest polymorph: 0.040 eV per atom

a = 3.929 Å, b = 3.929 Å, c = 8.905 Å
α = 90.00°, β = 90.00°, γ = 90.00°
Last column: magnetic moment on the atom in μB.
Fractional coordinates of all 4 atoms:
Cr1 0.000 0.000 0.558  3.98
Li1 0.500 0.500 0.686  -0.01
Sr1 0.000 0.000 0.944  -0.02
Sr2 0.500 0.500 0.313  0.01



Entry 8:
Below is a relaxed TlCuBr2 crystal, with properties calculated at the PBE-GGA level.

Output
- Size of the total moment: 0.00 μB/f.u.
- Formation energy from raw total energies: -119 meV/atom
- E: -2.571 eV/atom
- Space-group type: Fm-3m
- E above lowest polymorph: 0.423 eV per atom

a = 5.307 Å, b = 5.307 Å, c = 5.307 Å
α = 60.00°, β = 60.00°, γ = 60.00°
Fractional coordinates of all 4 atoms:
Tl1 0.500 0.500 0.500
Cu1 0.000 0.000 0.000
Br1 0.250 0.250 0.250
Br2 0.750 0.750 0.750



Entry 9:
Below is a relaxed Li2MnRh crystal, with properties calculated at the PBE-GGA level.

Output
- Size of the total moment: 4.14 μB/f.u.
- E: -5.011 eV/atom
- Space-group type: Cmm2
- DFT formation energy: 0.08 eV per atom
- E above lowest polymorph: 0.133 eV per atom

a = 2.740 Å, b = 2.740 Å, c = 9.005 Å
α = 90.00°, β = 90.00°, γ = 113.98°
Last column: magnetic moment on the atom in μB.
Fractional coordinates of all 4 atoms:
Li1 0.000 0.000 0.974  0.01
Li2 0.500 0.500 0.264  -0.03
Mn1 0.000 0.000 0.519  3.58
Rh1 0.500 0.500 0.743  0.44



Entry 10:
Below is a relaxed ScTcO2F crystal, with properties calculated at the PBE-GGA level.

Output
- Size of the total moment: 5.00 μB/f.u.
- Formation energy from raw total energies: -1667 meV/atom
- E: -7.364 eV/atom
- Space-group type: P4/mmm

a = 4.122 Å, b = 4.122 Å, c = 3.991 Å
α = 90.00°, β = 90.00°, γ = 90.00°
Last column: magnetic moment on the atom in μB.
Fractional coordinates of all 5 atoms:
Sc1 0.000 0.000 0.000  -0.01
Tc1 0.500 0.500 0.500  4.14
O1 0.000 0.500 0.000  0.14
O2 0.500 0.000 0.000  0.14
F1 0.000 0.000 0.500  0.05



Entry 11:
Below is a relaxed Rb6BiF12 crystal, with properties calculated at the PBE-GGA level.

Output
- Size of the total moment: 1.17 μB/f.u.
- Formation energy from raw total energies: -2338 meV/atom
- E: -4.030 eV/atom
- Space-group type: R-3

a = 7.985 Å, b = 7.985 Å, c = 7.985 Å
α = 98.92°, β = 98.92°, γ = 98.92°
Last column: magnetic moment on the atom in μB.
Fractional coordinates of all 19 atoms:
Rb1 0.666 0.849 0.403  0.01
Rb2 0.597 0.334 0.151  0.01
Rb3 0.151 0.597 0.334  0.01
Rb4 0.334 0.151 0.597  0.01
Rb5 0.403 0.666 0.849  0.01
Rb6 0.849 0.403 0.666  0.01
Bi1 0.000 0.000 0.000  0.00
F1 0.829 0.581 0.395  0.16
F2 0.395 0.829 0.581  0.16
F3 0.581 0.395 0.829  0.16
F4 0.171 0.419 0.605  0.16
F5 0.605 0.171 0.419  0.16
F6 0.419 0.605 0.171  0.16
F7 0.074 0.979 0.253  0.00
F8 0.021 0.747 0.926  0.00
F9 0.747 0.926 0.021  0.00
F10 0.926 0.021 0.747  0.00
F11 0.979 0.253 0.074  0.00
F12 0.253 0.074 0.979  0.00



Entry 12:
Below is a relaxed Na2Li3Au2 crystal, with properties calculated at the PBE-GGA level.

Output
- Size of the total moment: 0.00 μB/f.u.
- E: -2.457 eV/atom
- Space-group type: C2/m
- DFT formation energy: -0.32 eV per atom
- E above lowest polymorph: 0.000 eV per atom

a = 4.324 Å, b = 5.759 Å, c = 7.262 Å
α = 113.95°, β = 90.00°, γ = 112.05°
Fractional coordinates of all 7 atoms:
Na1 0.849 0.697 0.215
Na2 0.151 0.303 0.785
Li1 0.500 0.000 0.000
Li2 0.645 0.290 0.441
Li3 0.355 0.710 0.559
Au1 0.871 0.742 0.797
Au2 0.129 0.258 0.203



What did the third record say?
Below is a relaxed Dy2ErU2Ru5 crystal, with properties calculated at the PBE-GGA level.

Output
- Size of the total moment: 0.00 μB/f.u.
- E: -8.563 eV/atom
- Space-group type: P4/mbm
- DFT formation energy: -0.29 eV per atom

a = 3.589 Å, b = 10.581 Å, c = 10.581 Å
α = 90.00°, β = 90.00°, γ = 90.00°
Fractional coordinates of all 20 atoms:
Dy1 0.000 0.674 0.174
Dy2 0.000 0.326 0.826
Dy3 0.000 0.174 0.326
Dy4 0.000 0.826 0.674
Er1 0.000 0.000 0.000
Er2 0.000 0.500 0.500
U1 0.000 0.135 0.635
U2 0.000 0.865 0.365
U3 0.000 0.635 0.865
U4 0.000 0.365 0.135
Ru1 0.500 0.212 0.054
Ru2 0.500 0.788 0.946
Ru3 0.500 0.054 0.788
Ru4 0.500 0.712 0.446
Ru5 0.500 0.946 0.212
Ru6 0.500 0.288 0.554
Ru7 0.500 0.554 0.712
Ru8 0.500 0.446 0.288
Ru9 0.500 0.500 0.000
Ru10 0.500 0.000 0.500